(1)
DFT (PBE) results for an optimized crystal structure of Ho2AlZn4Au3.

```
10
Lattice="4.0196 0.0000 0.0000 0.0000 4.0196 0.0000 0.0000 0.0000 11.9071" Properties=species:S:1:pos:R:3 pbc="T T T"
Ho 2.0098 0.0000 3.0449
Ho 0.0000 2.0098 8.8622
Al 2.0098 2.0098 5.9536
Zn 2.0098 2.0098 0.0000
Zn 0.0000 0.0000 0.0000
Zn 2.0098 0.0000 7.6183
Zn 0.0000 2.0098 4.2889
Au 0.0000 0.0000 5.9536
Au 2.0098 0.0000 10.1499
Au 0.0000 2.0098 1.7573
```

Properties
* theoretical density: 10.4 g/cm³
* space group: P-4m2
* crystal system: tetragonal
* ΔH_f (0 K): -0.4979 eV per atom
* density of states at the Fermi level: 4.26 states/eV/cell
* spin magnetization: 0.0 μB/f.u.

***

(2)
DFT (PBE) results for an optimized crystal structure of HoAlZn3Au.

```
12
Lattice="5.7880 0.0000 0.0000 0.0000 6.1514 0.0000 0.0000 -3.0757 6.4197" Properties=species:S:1:pos:R:3 pbc="T T T"
Ho 4.3410 0.0000 3.8630
Ho 1.4470 3.0757 2.5568
Al 1.4470 3.0757 5.4171
Al 4.3410 0.0000 1.0026
Zn 1.4470 0.0000 1.6560
Zn 0.0000 1.8571 0.0000
Zn 2.8940 4.2943 0.0000
Zn 2.8940 1.8571 0.0000
Zn 0.0000 4.2943 0.0000
Zn 4.3410 3.0757 4.7637
Au 1.4470 0.0000 4.3121
Au 4.3410 3.0757 2.1076
```

Properties
* theoretical density: 8.5 g/cm³
* space group: Cmcm
* crystal system: orthorhombic
* ΔH_f (0 K): -0.1817 eV per atom
* density of states at the Fermi level: 2.99 states/eV/cell
* spin magnetization: 0.0 μB/f.u.